{"formula": "LaMnCd2", "functional": "PBE", "state": "relaxed", "cell": [[3.4375, 0.0000, 0.0000], [0.0000, 2.3466, 5.9811], [0.0000, -2.3466, 5.9811]], "species": ["La", "Mn", "Cd", "Cd"], "frac_coords": [[0.0000, 0.0000, 0.0000], [0.5000, 0.4654, 0.4654], [0.0000, 0.2841, 0.2841], [0.5000, 0.6992, 0.6992]], "sg": "Amm2, No. 38", "total_energy_ev_per_atom": -3.85, "ef_mev_per_atom": 129, "rho_g_cm3": 7.20}